Record 1
Compound: Ac6DyO12
Source: the Alexandria database
Functional: PBE-GGA
Structure: optimized geometry

Its energy relative to the elements, uncorrected is -3.042 eV/atom. Its total magnetic moment is 3.18 μB/f.u.

It has space group R-3 (No. 148, hexagonal axes), with a = 10.9352 Å, b = 10.9352 Å, c = 10.2615 Å, α = 90.00°, β = 90.00° and γ = 120.00°. The asymmetric unit holds Ac at (0.0534, 0.7934, 0.1558), Dy at (0.0000, 0.0000, 0.5000), O at (0.0401, 0.8133, 0.9035) and O at (0.0414, 0.8370, 0.3962).



Record 2
Compound: Sm2ErSn
Source: the Alexandria database
Functional: PBE-GGA
Structure: optimized geometry

For the formation energy, the calculation gives -256 meV/atom. Its total magnetic moment is 0.02 μB/f.u. The value obtained for the energy above the most stable polymorph in this dataset is 0.68 eV per formula unit.

It has space group Fm-3m (No. 225), with a = 7.7323 Å, b = 7.7323 Å, c = 7.7323 Å, α = 90.00°, β = 90.00° and γ = 90.00°. The asymmetric unit holds Sm at (0.2500, 0.2500, 0.2500), Er at (0.0000, 0.0000, 0.0000) and Sn at (0.0000, 0.0000, 0.5000).



Record 3
Compound: Y5HoPb4
Source: the Alexandria database
Functional: PBE-GGA
Structure: optimized geometry

For the formation energy, the calculation gives -230 meV/atom. Its total magnetic moment is 0.00 μB/f.u.

It has space group C2/m (No. 12), with a = 17.6700 Å, b = 3.6909 Å, c = 9.6997 Å, α = 90.00°, β = 92.17° and γ = 90.00°. The asymmetric unit holds Y at (0.0000, 0.0000, 0.0000), Y at (0.1536, 0.5000, 0.2594), Y at (0.1911, 0.5000, 0.8862), Ho at (0.0000, 0.0000, 0.5000), Pb at (0.0258, 0.5000, 0.7501) and Pb at (0.1821, 0.0000, 0.5672).



Record 4
Compound: BaCr2Cu
Source: the Alexandria database
Functional: PBE-GGA
Structure: optimized geometry

For the formation energy, the calculation gives 570 meV/atom. Its total magnetic moment is 0.13 μB/f.u. The value obtained for the energy above the most stable polymorph in this dataset is 0.00 eV per formula unit.

It has space group P4mm (No. 99), with a = 3.2380 Å, b = 3.2380 Å, c = 7.7284 Å, α = 90.00°, β = 90.00° and γ = 90.00°. The asymmetric unit holds Ba at (0.0000, 0.0000, 0.0000), Cr at (0.0000, 0.0000, 0.4970), Cr at (0.5000, 0.5000, 0.3562) and Cu at (0.5000, 0.5000, 0.6874).



Record 5
Compound: MoBr
Source: the Alexandria database
Functional: PBE-GGA
Structure: optimized geometry

Its energy relative to the elements, uncorrected is 0.188 eV/atom. Its total magnetic moment is 0.00 μB/f.u. The value obtained for the energy above the most stable polymorph in this dataset is 0.52 eV per formula unit.

It has space group Cm (No. 8), with a = 11.5973 Å, b = 3.2101 Å, c = 9.5941 Å, α = 90.00°, β = 125.98° and γ = 90.00°. The asymmetric unit holds Mo at (0.0000, 0.0000, 0.0000), Mo at (0.0064, 0.0000, 0.7312), Mo at (0.1668, 0.5000, 0.0144), Br at (0.1965, 0.5000, 0.7461), Br at (0.3075, 0.0000, 0.5137) and Br at (0.4160, 0.0000, 0.1889).



Record 6
Compound: TaBIr2Au
Source: the Alexandria database
Functional: PBE-GGA
Structure: optimized geometry

For the formation energy, the calculation gives 2902 meV/atom. Its total magnetic moment is 1.30 μB/f.u.

It has space group P4/mmm (No. 123), with a = 4.8996 Å, b = 4.8996 Å, c = 4.8252 Å, α = 90.00°, β = 90.00° and γ = 90.00°. The asymmetric unit holds Ta at (0.0000, 0.0000, 0.0000), B at (0.5000, 0.5000, 0.0000), Ir at (0.0000, 0.5000, 0.5000) and Au at (0.0000, 0.0000, 0.5000).